[1]
First-principles (GGA-PBE) data for a relaxed structure of CaSc3Sn, as listed in the Alexandria database.

Results
The calculation puts the raw total energy at -4.027 eV/atom. The calculation puts the offset from the most stable computed form at 775 meV per atom.

Unit cell a=5.143 b=5.143 c=5.143 alpha=90.00 beta=90.00 gamma=90.00
Space group Pm-3m (No. 221)
Unique sites:
Ca: 0.000 0.000 0.000
Sc: 0.000 0.000 0.500
Sn: 0.500 0.500 0.500

***

[2]
First-principles (GGA-PBE) data for a relaxed structure of Ca2ScSn2, as listed in the Alexandria database.

Results
The calculation puts the raw total energy at -3.948 eV/atom. The calculation puts the offset from the most stable computed form at 285 meV per atom.

Unit cell a=9.163 b=9.163 c=3.363 alpha=90.00 beta=90.00 gamma=90.00
Space group P4/mbm (No. 127)
Unique sites:
Ca: 0.122 0.378 0.000
Sc: 0.000 0.000 0.000
Sn: 0.178 0.678 0.500

***

[3]
First-principles (GGA-PBE) data for a relaxed structure of Ca3ScSn, as listed in the Alexandria database.

Results
The calculation puts the raw total energy at -2.591 eV/atom. The calculation puts the offset from the most stable computed form at 465 meV per atom.

Unit cell a=5.820 b=5.820 c=5.820 alpha=90.00 beta=90.00 gamma=90.00
Space group Pm-3m (No. 221)
Unique sites:
Ca: 0.000 0.000 0.500
Sc: 0.000 0.000 0.000
Sn: 0.500 0.500 0.500

***

[4]
First-principles (GGA-PBE) data for a relaxed structure of Ca3ScSn, as listed in the Alexandria database.

Results
The calculation puts the raw total energy at -3.057 eV/atom. The calculation puts the offset from the most stable computed form at 0 meV per atom.

Unit cell a=5.933 b=5.933 c=5.933 alpha=90.00 beta=90.00 gamma=90.00
Space group Pm-3m (No. 221)
Unique sites:
Ca: 0.000 0.000 0.500
Sc: 0.500 0.500 0.500
Sn: 0.000 0.000 0.000

***

[5]
First-principles (GGA-PBE) data for a relaxed structure of CaScSn3, as listed in the Alexandria database.

Results
The calculation puts the raw total energy at -4.161 eV/atom.

Unit cell a=5.465 b=5.465 c=5.465 alpha=90.00 beta=90.00 gamma=90.00
Space group Pm-3m (No. 221)
Unique sites:
Ca: 0.000 0.000 0.000
Sc: 0.500 0.500 0.500
Sn: 0.000 0.500 0.500

***

[6]
First-principles (GGA-PBE) data for a relaxed structure of CaScSn2, as listed in the Alexandria database.

Results
The calculation puts the raw total energy at -4.587 eV/atom.

Unit cell a=4.834 b=4.834 c=4.337 alpha=90.00 beta=90.00 gamma=90.00
Space group P4/mmm (No. 123)
Unique sites:
Ca: 0.000 0.000 0.000
Sc: 0.500 0.500 0.000
Sn: 0.000 0.500 0.500

***

[7]
First-principles (GGA-PBE) data for a relaxed structure of CaScSn2, as listed in the Alexandria database.

Results
The calculation puts the raw total energy at -4.623 eV/atom.

Unit cell a=3.842 b=3.842 c=7.075 alpha=90.00 beta=90.00 gamma=90.00
Space group P4/mmm (No. 123)
Unique sites:
Ca: 0.000 0.000 0.000
Sc: 0.000 0.000 0.500
Sn: 0.500 0.500 0.282

***

[8]
First-principles (GGA-PBE) data for a relaxed structure of CaScSn2, as listed in the Alexandria database.

Results
The calculation puts the raw total energy at -4.221 eV/atom.

Unit cell a=5.121 b=5.121 c=19.742 alpha=90.00 beta=90.00 gamma=90.00
Space group I-42d (No. 122)
Unique sites:
Ca: 0.000 0.000 0.000
Sc: 0.000 0.000 0.500
Sn: 0.174 0.250 0.625

***

[9]
First-principles (GGA-PBE) data for a relaxed structure of CaSc3Sn, as listed in the Alexandria database.

Results
The calculation puts the raw total energy at -4.802 eV/atom. The calculation puts the offset from the most stable computed form at 0 meV per atom.

Unit cell a=5.482 b=5.482 c=5.482 alpha=90.00 beta=90.00 gamma=90.00
Space group Pm-3m (No. 221)
Unique sites:
Ca: 0.000 0.000 0.000
Sc: 0.000 0.500 0.500
Sn: 0.500 0.500 0.500

***

[10]
First-principles (GGA-PBE) data for a relaxed structure of Ca2Sc2Sn, as listed in the Alexandria database.

Results
The calculation puts the raw total energy at -3.827 eV/atom. The calculation puts the offset from the most stable computed form at 384 meV per atom.

Unit cell a=4.293 b=4.293 c=16.186 alpha=90.00 beta=90.00 gamma=90.00
Space group I4/mmm (No. 139)
Unique sites:
Ca: 0.000 0.500 0.250
Sc: 0.000 0.000 0.080
Sn: 0.000 0.000 0.500

***

[11]
First-principles (GGA-PBE) data for a relaxed structure of CaSc2Sn, as listed in the Alexandria database.

Results
The calculation puts the raw total energy at -4.607 eV/atom.

Unit cell a=4.501 b=4.501 c=21.876 alpha=90.00 beta=90.00 gamma=90.00
Space group I-42d (No. 122)
Unique sites:
Ca: 0.000 0.000 0.000
Sc: 0.221 0.250 0.625
Sn: 0.000 0.000 0.500

***

[12]
First-principles (GGA-PBE) data for a relaxed structure of Ca2Sc3Sn4, as listed in the Alexandria database.

Results
The calculation puts the raw total energy at -5.016 eV/atom.

Unit cell a=7.973 b=8.088 c=7.681 alpha=90.00 beta=107.92 gamma=90.00
Space group P2_1/c (No. 14)
Unique sites:
Ca: 0.187 0.177 0.058
Sc: 0.248 0.665 0.252
Sc: 0.500 0.000 0.500
Sn: 0.088 0.540 0.859
Sn: 0.497 0.133 0.860

***

no.,formation energy (eV per atom)
1,0.97
2,-0.28
3,0.68
4,0.21
5,-0.09
6,-0.50
7,-0.54
8,-0.14
9,0.20
10,0.31
11,0.06
12,-0.68